Entry 1:
## Hf6RuPt (PBE)

Data for Hf6RuPt after structural relaxation. Values from VASP.

Output
Formation energy: -0.312 eV/atom
Space group: C2/m

```
&SYSTEM
  ibrav = 0, nat = 8, ntyp = 3
/
ATOMIC_SPECIES
Hf 178.49 Hf.upf
Ru 101.07 Ru.upf
Pt 195.08 Pt.upf
CELL_PARAMETERS angstrom
7.260 -0.078 -0.993
3.724 4.130 -1.584
2.821 0.503 4.730
ATOMIC_POSITIONS angstrom
Hf 4.787 1.319 2.944
Hf 11.458 4.040 0.850
Hf 4.457 1.820 -0.308
Hf 2.347 0.516 1.303
Hf 9.019 3.237 -0.791
Hf 9.348 2.736 2.461
Ru 0.000 0.000 0.000
Pt 6.903 2.278 1.076
```

---

Entry 2:
## HfTlRu2Pt (PBE)

Data for HfTlRu2Pt after structural relaxation. Values from VASP.

Output
Formation energy: 1.400 eV/atom
Space group: P4/mmm

```
&SYSTEM
  ibrav = 0, nat = 5, ntyp = 4
/
ATOMIC_SPECIES
Ru 101.07 Ru.upf
Tl 204.38 Tl.upf
Hf 178.49 Hf.upf
Pt 195.08 Pt.upf
CELL_PARAMETERS angstrom
4.791 0.000 0.000
0.000 4.977 0.000
0.000 0.000 4.791
ATOMIC_POSITIONS angstrom
Ru 0.000 0.000 2.395
Ru 2.395 0.000 0.000
Tl 0.000 2.488 0.000
Hf 2.395 2.488 2.395
Pt 0.000 0.000 0.000
```

---

Entry 3:
## TmHfRuPt (PBE)

Data for TmHfRuPt after structural relaxation. Values from VASP.

Output
Formation energy: -0.839 eV/atom
Space group: F-43m

```
&SYSTEM
  ibrav = 0, nat = 4, ntyp = 4
/
ATOMIC_SPECIES
Ru 101.07 Ru.upf
Tm 168.93 Tm.upf
Hf 178.49 Hf.upf
Pt 195.08 Pt.upf
CELL_PARAMETERS angstrom
4.723 0.000 0.000
2.362 4.091 0.000
2.362 1.364 3.857
ATOMIC_POSITIONS angstrom
Ru 2.362 1.364 0.964
Tm 0.000 0.000 0.000
Hf 4.723 2.727 1.928
Pt 7.085 4.091 2.893
```

---

Entry 4:
## YHfRuPt (PBE)

Data for YHfRuPt after structural relaxation. Values from VASP.

Output
Formation energy: -0.753 eV/atom
Space group: F-43m

```
&SYSTEM
  ibrav = 0, nat = 4, ntyp = 4
/
ATOMIC_SPECIES
Y 88.91 Y.upf
Ru 101.07 Ru.upf
Hf 178.49 Hf.upf
Pt 195.08 Pt.upf
CELL_PARAMETERS angstrom
4.761 0.000 0.000
2.381 4.124 0.000
2.381 1.375 3.888
ATOMIC_POSITIONS angstrom
Y 7.142 4.124 2.916
Ru 0.000 0.000 0.000
Hf 2.381 1.375 0.972
Pt 4.761 2.749 1.944
```

---

- The lowest formation energy belongs to which entry?
  TmHfRuPt

---

- Among the records above, which one has the highest formation energy?
  HfTlRu2Pt

---

- Which value of formation energy does entry 2 give?
  1.400 eV/atom

---

Copy entry 1 word for word.
## Hf6RuPt (PBE)

Data for Hf6RuPt after structural relaxation. Values from VASP.

Output
Formation energy: -0.312 eV/atom
Space group: C2/m

```
&SYSTEM
  ibrav = 0, nat = 8, ntyp = 3
/
ATOMIC_SPECIES
Hf 178.49 Hf.upf
Ru 101.07 Ru.upf
Pt 195.08 Pt.upf
CELL_PARAMETERS angstrom
7.260 -0.078 -0.993
3.724 4.130 -1.584
2.821 0.503 4.730
ATOMIC_POSITIONS angstrom
Hf 4.787 1.319 2.944
Hf 11.458 4.040 0.850
Hf 4.457 1.820 -0.308
Hf 2.347 0.516 1.303
Hf 9.019 3.237 -0.791
Hf 9.348 2.736 2.461
Ru 0.000 0.000 0.000
Pt 6.903 2.278 1.076
```